Sm2Be3Cu12Ni: relaxed, PBE-GGA.

Computed properties:
As for the volume: 283.89 Å³/cell. The space group is R-3m (166). The calculation puts the calculated formation energy at 337 meV/atom. The final energy is -0.284 Ry per atom. As for the magnetic moment: 0.00 μB per formula unit.

abc: 7.158 7.158 7.158
angles: 64.31 64.31 64.31
Sites, in units of the cell vectors:
Sm: 0.609 0.609 0.609
Sm: 0.391 0.391 0.391
Cu: 0.665 0.665 0.101
Cu: 0.335 0.899 0.335
Cu: 0.101 0.665 0.665
Cu: 0.120 0.120 0.626
Cu: 0.880 0.880 0.374
Cu: 0.120 0.626 0.120
Cu: 0.335 0.335 0.899
Cu: 0.374 0.880 0.880
Cu: 0.899 0.335 0.335
Cu: 0.626 0.120 0.120
Cu: 0.665 0.101 0.665
Cu: 0.880 0.374 0.880
Ni: 0.000 0.000 0.000
Be: 0.000 0.000 0.500
Be: 0.000 0.500 0.000
Be: 0.500 0.000 0.000